Ba3Sn5Cl12: optimized geometry, PBE-GGA.

Summary:
The volume comes out at 715.8 Å³/f.u. As for the energy relative to the elements, uncorrected: -1213 meV per atom. The value obtained for the density of states at the Fermi level is 7.9 states/eV/f.u. The density comes out at 3.3 Mg/m³. The value obtained for the calculated total energy is -0.1327 hartree per atom.

CIF file:
```
data_Ba3Sn5Cl12
_cell_length_a 17.8904
_cell_length_b 17.8904
_cell_length_c 17.8904
_cell_angle_alpha 90.00
_cell_angle_beta 90.00
_cell_angle_gamma 90.00
_space_group_name_H-M_alt 'I a -3 d'
_space_group_IT_number 230
_space_group_name_Hall '-I 4bd 2c 3'
loop_
_atom_site_label
_atom_site_fract_x
_atom_site_fract_y
_atom_site_fract_z
_atom_site_occupancy
Ba1 0.0000 0.2500 0.1250 1
Sn1 0.0000 0.0000 0.0000 1
Sn2 0.0000 0.2500 0.3750 1
Cl1 0.0108 0.0649 0.6512 1
```